(1)
## Nd2Zn3Au4 (PBE)

Data for a relaxed Nd2Zn3Au4 crystal.

The structure in CIF format:
```
data_Nd2Zn3Au4
_chemical_formula_sum 'Nd8 Zn12 Au16'
_space_group_name_H-M_alt 'C m c e'
_space_group_IT_number 64
_space_group_name_Hall '-C 2ac 2'
_cell_length_a 5.901
_cell_length_b 15.657
_cell_length_c 8.013
_cell_angle_alpha 90.00
_cell_angle_beta 90.00
_cell_angle_gamma 90.00
loop_
_atom_site_label
_atom_site_type_symbol
_atom_site_fract_x
_atom_site_fract_y
_atom_site_fract_z
Nd1 Nd 0.000 0.116 0.084
Zn1 Zn 0.000 0.000 0.500
Zn2 Zn 0.250 0.221 0.750
Au1 Au 0.000 0.184 0.470
Au2 Au 0.250 0.049 0.750
```

Output
The total energy is -125.97 eV per cell. The calculation puts the density of states at the Fermi level at 24.2 states/eV per cell. The value obtained for the total moment is 0.0 μB/f.u. Its crystal system is orthorhombic. The calculation puts the formation energy from the elements at -0.5584 eV per atom.

=====

(2)
## La8Os3SI4 (PBE)

Data for a relaxed La8Os3SI4 crystal.

The structure in CIF format:
```
data_La8Os3SI4
_chemical_formula_sum 'La16 Os6 S2 I8'
_space_group_name_H-M_alt 'C 1 2/m 1'
_space_group_IT_number 12
_cell_length_a 14.847
_cell_length_b 8.574
_cell_length_c 9.538
_cell_angle_alpha 90.00
_cell_angle_beta 121.20
_cell_angle_gamma 90.00
loop_
_space_group_symop_operation_xyz
'x,y,z'
'-x,-y,-z'
'-x,y,-z'
'x,-y,z'
'x+1/2,y+1/2,z'
'-x+1/2,-y+1/2,-z'
'-x+1/2,y+1/2,-z'
'x+1/2,-y+1/2,z'
loop_
_atom_site_label
_atom_site_type_symbol
_atom_site_fract_x
_atom_site_fract_y
_atom_site_fract_z
La1 La 0.026 0.238 0.316
La2 La 0.230 0.000 0.691
La3 La 0.236 0.500 0.683
Os1 Os 0.000 0.000 0.500
Os2 Os 0.250 0.250 0.500
S1 S 0.000 0.500 0.500
I1 I 0.000 0.000 0.000
I2 I 0.000 0.500 0.000
I3 I 0.250 0.250 0.000
```

Output
The total energy is -196.87 eV per cell. The calculation puts the density of states at the Fermi level at 20.5 states/eV per cell. The value obtained for the total moment is 0.0 μB/f.u. Its crystal system is monoclinic.

=====

(3)
## Pr3CdIn2 (PBE)

Data for a relaxed Pr3CdIn2 crystal.

The structure in CIF format:
```
data_Pr3CdIn2
_chemical_formula_sum 'Pr3 Cd1 In2'
_space_group_name_H-M_alt 'P 4/m m m'
_space_group_IT_number 123
_space_group_name_Hall '-P 4 2'
_cell_length_a 3.776
_cell_length_b 3.776
_cell_length_c 12.431
_cell_angle_alpha 90.00
_cell_angle_beta 90.00
_cell_angle_gamma 90.00
loop_
_atom_site_label
_atom_site_type_symbol
_atom_site_fract_x
_atom_site_fract_y
_atom_site_fract_z
Pr1 Pr 0.000 0.000 0.000
Pr2 Pr 0.000 0.000 0.335
Cd1 Cd 0.500 0.500 0.500
In1 In 0.500 0.500 0.170
```

Output
The total energy is -23.34 eV per cell. The calculation puts the density of states at the Fermi level at 4.9 states/eV per cell. The value obtained for the total moment is 0.0 μB/f.u. Its crystal system is tetragonal. The calculation puts the formation energy from the elements at -0.4347 eV per atom.

=====

(4)
## BeSbAs2 (PBE)

Data for a relaxed BeSbAs2 crystal.

The structure in CIF format:
```
data_BeSbAs2
_chemical_formula_sum 'Be4 Sb4 As8'
_space_group_name_H-M_alt 'F -4 3 m'
_space_group_IT_number 216
_space_group_name_Hall 'F -4 2 3'
_cell_length_a 6.738
_cell_length_b 6.738
_cell_length_c 6.738
_cell_angle_alpha 90.00
_cell_angle_beta 90.00
_cell_angle_gamma 90.00
loop_
_atom_site_label
_atom_site_type_symbol
_atom_site_fract_x
_atom_site_fract_y
_atom_site_fract_z
Be1 Be 0.000 0.000 0.000
Sb1 Sb 0.250 0.250 0.750
As1 As 0.000 0.000 0.500
As2 As 0.250 0.250 0.250
```

Output
The total energy is -58.87 eV per cell. The calculation puts the density of states at the Fermi level at 8.5 states/eV per cell. The value obtained for the total moment is 0.0 μB/f.u. Its crystal system is cubic.

=====

(5)
## CaCd2Pd3 (PBE)

Data for a relaxed CaCd2Pd3 crystal.

The structure in CIF format:
```
data_CaCd2Pd3
_chemical_formula_sum 'Ca4 Cd8 Pd12'
_space_group_name_H-M_alt 'C m m m'
_space_group_IT_number 65
_space_group_name_Hall '-C 2 2'
_cell_length_a 4.735
_cell_length_b 14.152
_cell_length_c 6.737
_cell_angle_alpha 90.00
_cell_angle_beta 90.00
_cell_angle_gamma 90.00
loop_
_atom_site_label
_atom_site_type_symbol
_atom_site_fract_x
_atom_site_fract_y
_atom_site_fract_z
Ca1 Ca 0.000 0.161 0.000
Cd1 Cd 0.000 0.171 0.500
Cd2 Cd 0.000 0.500 0.000
Cd3 Cd 0.000 0.500 0.500
Pd1 Pd 0.000 0.000 0.271
Pd2 Pd 0.000 0.337 0.263
```

Output
The total energy is -89.40 eV per cell. The calculation puts the density of states at the Fermi level at 8.5 states/eV per cell. The value obtained for the total moment is 0.0 μB/f.u. Its crystal system is orthorhombic. The calculation puts the formation energy from the elements at -0.4898 eV per atom.

=====

(6)
## TcMoI2N (PBE)

Data for a relaxed TcMoI2N crystal.

The structure in CIF format:
```
data_TcMoI2N
_chemical_formula_sum 'Tc1 Mo1 I2 N1'
_space_group_name_H-M_alt 'P 4/m m m'
_space_group_IT_number 123
_space_group_name_Hall '-P 4 2'
_cell_length_a 5.579
_cell_length_b 5.579
_cell_length_c 3.758
_cell_angle_alpha 90.00
_cell_angle_beta 90.00
_cell_angle_gamma 90.00
loop_
_atom_site_label
_atom_site_type_symbol
_atom_site_fract_x
_atom_site_fract_y
_atom_site_fract_z
Tc1 Tc 0.000 0.000 0.000
Mo1 Mo 0.500 0.500 0.500
I1 I 0.000 0.500 0.000
N1 N 0.000 0.000 0.500
```

Output
The total energy is -27.76 eV per cell. The calculation puts the density of states at the Fermi level at 4.4 states/eV per cell. The value obtained for the total moment is 4.2 μB/f.u. Its crystal system is tetragonal.